Entry 1:
5
Lattice="5.825 0.000 0.000 0.000 5.825 0.000 0.000 0.000 6.053" Properties=species:S:1:pos:R:3 comment="SnSbI2Cl, relaxed, DFT PBE" e_form_raw_ev_per_atom=0.2536 m_tot_mub_per_cell=1.11 e_above_lowest_polymorph_ev_per_atom=0.000 density_g_cm3=4.28 volume_a3_per_cell=205.4 dos_at_fermi_per_ev_atom=0.925 e_tot_ev_per_atom=-2.361 crystal_system=tetragonal pbc="T T T"
I 0.000 2.912 0.000
I 2.912 0.000 0.000
Sb 0.000 0.000 3.027
Sn 0.000 0.000 0.000
Cl 2.912 2.912 3.027



Entry 2:
4
Lattice="4.306 0.000 0.000 0.000 4.670 0.000 0.000 0.000 4.670" Properties=species:S:1:pos:R:3 comment="ThTlZn2, relaxed, DFT PBE" m_tot_mub_per_cell=0.00 e_above_lowest_polymorph_ev_per_atom=0.000 density_g_cm3=10.03 volume_a3_per_cell=93.9 dos_at_fermi_per_ev_atom=0.755 e_tot_ev_per_atom=-3.177 crystal_system=tetragonal pbc="T T T"
Tl 2.153 0.000 0.000
Zn 0.000 0.000 2.335
Zn 0.000 2.335 0.000
Th 2.153 2.335 2.335



Entry 3:
5
Lattice="-2.854 -3.417 -0.339 1.459 -0.808 -4.141 3.270 -2.903 1.719" Properties=species:S:1:pos:R:3 comment="ZrP2SCl, relaxed, DFT PBE" e_form_raw_ev_per_atom=0.6633 m_tot_mub_per_cell=0.00 e_above_lowest_polymorph_ev_per_atom=0.449 density_g_cm3=3.91 volume_a3_per_cell=93.7 dos_at_fermi_per_ev_atom=0.409 e_tot_ev_per_atom=-4.405 crystal_system=tetragonal pbc="T T T"
P 0.730 -0.404 -2.071
P -1.427 -1.708 -0.170
S 1.635 -1.451 0.859
Zr 0.938 -3.564 -1.381
Cl 0.000 0.000 0.000